Record 1
Computed, not measured: crystalline CrPd4 at its relaxed geometry at the PBE level of DFT.

The structure in POSCAR format:
```
CrPd4
1.0
4.509 0.000 0.000
0.000 4.509 0.000
0.000 0.000 4.509
Cr Pd
1 4
Direct
0.000 0.000 0.000
0.000 0.000 0.500
0.000 0.500 0.000
0.500 0.000 0.000
0.500 0.500 0.500
```

Properties
The energy above the lowest structure with this stoichiometry is 743.1 meV per atom. The crystal system is cubic. For the formation energy, the calculation gives 4.4 eV/f.u.

***

Record 2
Computed, not measured: crystalline SmZrRe4 at its relaxed geometry at the PBE level of DFT.

The structure in POSCAR format:
```
SmZrRe4
1.0
0.000 3.814 3.814
3.814 0.000 3.814
3.814 3.814 0.000
Sm Zr Re
1 1 4
Direct
0.000 0.000 0.000
0.750 0.750 0.750
0.375 0.375 0.375
0.375 0.375 0.874
0.375 0.874 0.375
0.874 0.375 0.375
```

Properties
The crystal system is cubic. For the formation energy, the calculation gives -0.8 eV/f.u.

***

Record 3
Computed, not measured: crystalline Er2AlPd3 at its relaxed geometry at the PBE level of DFT.

The structure in POSCAR format:
```
Er2AlPd3
1.0
2.795 1.614 4.148
-2.795 1.614 4.148
0.000 -3.227 4.148
Er Al Pd
2 1 3
Direct
0.129 0.129 0.129
0.871 0.871 0.871
0.500 0.500 0.500
0.000 0.500 0.500
0.500 0.000 0.500
0.500 0.500 0.000
```

Properties
The energy above the lowest structure with this stoichiometry is 0.0 meV per atom. The crystal system is trigonal. For the formation energy, the calculation gives -5.4 eV/f.u.

***

Record 4
Computed, not measured: crystalline LaInRh at its relaxed geometry at the PBE level of DFT.

The structure in POSCAR format:
```
LaInRh
1.0
4.660 0.000 0.000
-2.330 4.036 0.000
0.000 0.000 3.985
La In Rh
1 1 1
Direct
0.000 0.000 0.000
0.667 0.333 0.499
0.333 0.667 0.493
```

Properties
The crystal system is trigonal. For the formation energy, the calculation gives -1.6 eV/f.u.

***

Record 5
Computed, not measured: crystalline La3Al8Ag3 at its relaxed geometry at the PBE level of DFT.

The structure in POSCAR format:
```
La3Al8Ag3
1.0
-2.275 4.903 6.663
2.275 -4.903 6.663
2.275 4.903 -6.663
La Al Ag
3 8 3
Direct
0.000 0.000 0.000
0.299 0.299 0.000
0.701 0.701 0.000
0.024 0.660 0.364
0.146 0.864 0.282
0.297 0.660 0.636
0.419 0.136 0.282
0.581 0.864 0.718
0.703 0.340 0.364
0.854 0.136 0.718
0.976 0.340 0.636
0.298 0.500 0.798
0.500 0.000 0.500
0.702 0.500 0.202
```

Properties
The crystal system is orthorhombic. For the formation energy, the calculation gives -5.6 eV/f.u.

***

Record 6
Computed, not measured: crystalline ErAg2Pd5 at its relaxed geometry at the PBE level of DFT.

The structure in POSCAR format:
```
ErAg2Pd5
1.0
-2.054 2.054 8.045
2.054 -2.054 8.045
2.054 2.054 -8.045
Er Ag Pd
1 2 5
Direct
0.000 0.000 0.000
0.250 0.250 0.000
0.750 0.750 0.000
0.126 0.626 0.500
0.374 0.874 0.500
0.500 0.500 0.000
0.626 0.126 0.500
0.874 0.374 0.500
```

Properties
The energy above the lowest structure with this stoichiometry is 0.0 meV per atom. The crystal system is tetragonal. For the formation energy, the calculation gives -3.7 eV/f.u.

***

Record 7
Computed, not measured: crystalline KBe2Ru at its relaxed geometry at the PBE level of DFT.

The structure in POSCAR format:
```
KBe2Ru
1.0
3.271 -1.888 0.000
3.271 1.888 0.000
-2.155 0.000 6.138
K Be Ru
1 2 1
Direct
0.000 0.000 0.000
0.485 0.485 0.457
0.817 0.817 0.452
0.185 0.185 0.559
```

Properties
The energy above the lowest structure with this stoichiometry is 0.0 meV per atom. The crystal system is monoclinic. For the formation energy, the calculation gives 0.9 eV/f.u.

***

Record 8
Computed, not measured: crystalline Ce2PuTaN6 at its relaxed geometry at the PBE level of DFT.

The structure in POSCAR format:
```
Ce2PuTaN6
1.0
5.719 0.000 0.000
0.000 5.807 0.000
-5.716 0.000 8.168
Ce Pu Ta N
4 2 2 12
Direct
0.243 0.046 0.252
0.243 0.454 0.752
0.757 0.546 0.248
0.757 0.954 0.748
0.500 0.000 0.000
0.500 0.500 0.500
0.000 0.000 0.500
0.000 0.500 0.000
0.139 0.200 0.942
0.139 0.300 0.442
0.235 0.695 0.941
0.235 0.805 0.441
0.356 0.035 0.744
0.356 0.465 0.244
0.644 0.535 0.756
0.644 0.965 0.256
0.765 0.195 0.559
0.765 0.305 0.059
0.861 0.700 0.558
0.861 0.800 0.058
```

Properties
The crystal system is monoclinic. The energy relative to the elements, uncorrected is -1210 meV/atom.

***

Respective volume values: 18.33, 18.49, 18.70, 24.98, 21.24, 16.96, 18.95, 13.56 Å³ per atom.
Respective magnetization values: 0.001, 0.000, 0.000, 0.000, 0.000, 0.000, 0.000, 3.065 μB/f.u..
Respective DOS(E_F) values: 4.54, 10.15, 2.87, 3.20, 3.37, 4.76, 0.83, 8.84 states/eV/f.u..